Entry 1:
Density functional theory data (PBE-GGA) for an optimized crystal structure of AlZnRu.

Output
calculated volume: 44.5 Å³/f.u.
uncorrected energy: -14.36 eV per formula unit
formation energy: -0.0213 eV per atom

```
data_AlZnRu
_chemical_formula_sum 'Al1 Zn1 Ru1'
_symmetry_space_group_name_H-M 'P 1'
_symmetry_Int_Tables_number 1
_cell_length_a 6.727
_cell_length_b 6.496
_cell_length_c 2.771
_cell_angle_alpha 82.62
_cell_angle_beta 73.26
_cell_angle_gamma 24.12
loop_
_symmetry_equiv_pos_as_xyz
'x,y,z'
loop_
_atom_site_label
_atom_site_fract_x
_atom_site_fract_y
_atom_site_fract_z
Zn1 0.671 0.671 0.329
Ru1 0.338 0.338 0.662
Al1 0.991 0.991 0.009
```

=====

Entry 2:
Density functional theory data (PBE-GGA) for an optimized crystal structure of Al3ZnRu.

Output
calculated volume: 91.2 Å³/f.u.
uncorrected energy: -17.18 eV per formula unit
formation energy: 0.9185 eV per atom
ΔE to the lowest computed polymorph: 868 meV per atom

```
data_Al3ZnRu
_chemical_formula_sum 'Al3 Zn1 Ru1'
_symmetry_space_group_name_H-M 'P 1'
_symmetry_Int_Tables_number 1
_cell_length_a 4.500
_cell_length_b 4.500
_cell_length_c 4.500
_cell_angle_alpha 90.00
_cell_angle_beta 90.00
_cell_angle_gamma 90.00
loop_
_symmetry_equiv_pos_as_xyz
'x,y,z'
loop_
_atom_site_label
_atom_site_fract_x
_atom_site_fract_y
_atom_site_fract_z
Zn1 0.000 0.000 0.000
Ru1 0.500 0.500 0.500
Al1 0.500 0.000 0.000
Al2 0.000 0.000 0.500
Al3 0.000 0.500 0.000
```

=====

Entry 3:
Density functional theory data (PBE-GGA) for an optimized crystal structure of AlZnRu.

Output
calculated volume: 48.2 Å³/f.u.
uncorrected energy: -14.10 eV per formula unit
formation energy: 0.0630 eV per atom

```
data_AlZnRu
_chemical_formula_sum 'Al1 Zn1 Ru1'
_symmetry_space_group_name_H-M 'P 1'
_symmetry_Int_Tables_number 1
_cell_length_a 4.086
_cell_length_b 4.086
_cell_length_c 4.086
_cell_angle_alpha 60.00
_cell_angle_beta 60.00
_cell_angle_gamma 60.00
loop_
_symmetry_equiv_pos_as_xyz
'x,y,z'
loop_
_atom_site_label
_atom_site_fract_x
_atom_site_fract_y
_atom_site_fract_z
Al1 0.750 0.750 0.750
Zn1 0.500 0.500 0.500
Ru1 0.000 0.000 0.000
```

=====

Entry 4:
Density functional theory data (PBE-GGA) for an optimized crystal structure of AlZn2Ru.

Output
calculated volume: 55.9 Å³/f.u.
uncorrected energy: -16.81 eV per formula unit
formation energy: -0.3122 eV per atom

```
data_AlZn2Ru
_chemical_formula_sum 'Al1 Zn2 Ru1'
_symmetry_space_group_name_H-M 'P 1'
_symmetry_Int_Tables_number 1
_cell_length_a 5.042
_cell_length_b 5.042
_cell_length_c 3.984
_cell_angle_alpha 66.78
_cell_angle_beta 66.78
_cell_angle_gamma 37.36
loop_
_symmetry_equiv_pos_as_xyz
'x,y,z'
loop_
_atom_site_label
_atom_site_fract_x
_atom_site_fract_y
_atom_site_fract_z
Zn1 0.997 0.997 0.003
Al1 0.750 0.750 0.750
Ru1 0.250 0.250 0.250
Zn2 0.503 0.503 0.497
```

=====

Entry 5:
Density functional theory data (PBE-GGA) for an optimized crystal structure of Zr2AlZnRu.

Output
calculated volume: 116.5 Å³/f.u.
uncorrected energy: -30.32 eV per formula unit
formation energy: 0.2140 eV per atom

```
data_Zr2AlZnRu
_chemical_formula_sum 'Zr2 Al1 Zn1 Ru1'
_symmetry_space_group_name_H-M 'P 1'
_symmetry_Int_Tables_number 1
_cell_length_a 4.974
_cell_length_b 4.707
_cell_length_c 4.974
_cell_angle_alpha 90.00
_cell_angle_beta 90.00
_cell_angle_gamma 90.00
loop_
_symmetry_equiv_pos_as_xyz
'x,y,z'
loop_
_atom_site_label
_atom_site_fract_x
_atom_site_fract_y
_atom_site_fract_z
Zn1 0.500 0.500 0.500
Zr1 0.500 0.000 0.000
Ru1 0.000 0.000 0.000
Zr2 0.000 0.000 0.500
Al1 0.000 0.500 0.000
```

=====

Entry 6:
Density functional theory data (PBE-GGA) for an optimized crystal structure of ZrAlZnRu.

Output
calculated volume: 64.7 Å³/f.u.
uncorrected energy: -24.49 eV per formula unit
formation energy: -0.4135 eV per atom

```
data_ZrAlZnRu
_chemical_formula_sum 'Zr1 Al1 Zn1 Ru1'
_symmetry_space_group_name_H-M 'P 1'
_symmetry_Int_Tables_number 1
_cell_length_a 4.506
_cell_length_b 4.506
_cell_length_c 4.506
_cell_angle_alpha 60.00
_cell_angle_beta 60.00
_cell_angle_gamma 60.00
loop_
_symmetry_equiv_pos_as_xyz
'x,y,z'
loop_
_atom_site_label
_atom_site_fract_x
_atom_site_fract_y
_atom_site_fract_z
Zn1 0.250 0.250 0.250
Zr1 0.000 0.000 0.000
Ru1 0.750 0.750 0.750
Al1 0.500 0.500 0.500
```